## ZnCoMo2 (PBE)

Data for ZnCoMo2 after structural relaxation.

Properties
- DFT total energy (eV per atom) = -7.327
- density of states at the Fermi level (states/eV/atom) = 0.798

a b c (Å): 4.692 4.692 4.771
angles (deg): 80.40 80.40 33.04
Positions (direct):
Zn (0.511, 0.511, 0.489)
Mo (0.752, 0.752, 0.740)
Mo (0.983, 0.983, 0.009)
Co (0.253, 0.253, 0.261)